Record 1
# GaReMo3

A geometry-optimized GaReMo3 structure (PBE, Alexandria via LeMat-Bulk).

Cell: 4.748 4.748 4.748 Å, 90.00 90.00 90.00°
Positions (direct):
Ga1 0.000 0.000 0.000
Re1 0.500 0.500 0.500
Mo1 0.000 0.500 0.500
Mo2 0.500 0.000 0.500
Mo3 0.500 0.500 0.000

Values from the calculation:
Energy relative to the elements   1.610 eV per atom

Record 2
# Pm6AlCo2Cl3

A geometry-optimized Pm6AlCo2Cl3 structure (PBE, Alexandria via LeMat-Bulk).

Cell: 10.141 10.141 8.789 Å, 106.89 106.89 22.13°
Positions (direct):
Pm1 0.033 0.033 0.276
Pm2 0.314 0.314 0.423
Pm3 0.337 0.337 0.874
Pm4 0.663 0.663 0.126
Pm5 0.686 0.686 0.577
Pm6 0.967 0.967 0.724
Al1 0.500 0.500 0.000
Co1 0.173 0.173 0.349
Co2 0.827 0.827 0.651
Cl1 0.177 0.177 0.852
Cl2 0.500 0.500 0.500
Cl3 0.823 0.823 0.148

Values from the calculation:
Formation energy from raw total energies   -0.812 eV/atom